First-principles (GGA-PBE) data for Cs2TlZn2F7 after structural relaxation, as listed in Alexandria.

## Properties
As for the crystal system: tetragonal. The value obtained for the spin magnetization is 0.000 μB/atom. Its final energy is -96.7 eV/cell. The density of states at the Fermi level comes out at 0.0 states/eV per cell. The calculation puts the theoretical density at 5735 kg/m3. For the formation energy without anion corrections, the calculation gives -2.385 eV/atom.

Unit cell a=4.2837 b=4.2837 c=23.1619 alpha=90.00 beta=90.00 gamma=90.00
Space group I4/mmm (No. 139)
Symmetry-distinct sites (fractional):
Cs (0.0000, 0.0000, 0.1834)
Tl (0.0000, 0.0000, 0.0000)
Zn (0.0000, 0.0000, 0.4109)
F (0.0000, 0.0000, 0.3231)
F (0.0000, 0.0000, 0.5000)
F (0.0000, 0.5000, 0.0891)